The following is a DFT calculation (SCAN) of TaZnCd2Hg at its PBEsol-relaxed geometry.

Summary:
The formation energy comes out at 1202 meV per atom. The calculation puts the density of states at the Fermi level at 4.429 states/eV per cell.

```
data_TaZnCd2Hg
_chemical_formula_sum 'Ta1 Zn1 Cd2 Hg1'
_space_group_name_H-M_alt 'P 1'
_space_group_IT_number 1
_cell_length_a 5.425
_cell_length_b 5.425
_cell_length_c 5.214
_cell_angle_alpha 90.00
_cell_angle_beta 90.00
_cell_angle_gamma 90.00
loop_
_space_group_symop_operation_xyz
'x,y,z'
loop_
_atom_site_label
_atom_site_fract_x
_atom_site_fract_y
_atom_site_fract_z
Ta1 0.000 0.000 0.000
Zn1 0.500 0.500 0.500
Cd1 0.000 0.500 0.000
Cd2 0.500 0.000 0.000
Hg1 0.000 0.000 0.500
```